10
Lattice="5.092 0.000 0.000 -0.018 5.459 0.000 -2.210 -2.699 4.911" Properties=species:S:1:pos:R:3 comment="Na2NiPdF6, relaxed, DFT GGA+U" total_energy_ev_per_cell=-42.5 sg="No. 1" pbc="T T T"
Na 0.000 0.000 0.000
Na 0.090 0.038 4.764
Ni 0.034 2.522 2.380
Pd 2.591 -0.171 2.381
F -1.305 1.188 3.220
F -1.209 -1.494 3.182
F 1.299 3.952 1.573
F 1.374 1.175 1.548
F 0.836 2.386 4.147
F 4.329 2.371 0.613

***

20
Lattice="5.635 0.000 0.000 0.000 6.032 0.000 -5.510 0.000 8.296" Properties=species:S:1:pos:R:3 comment="Ca2SnWO6, relaxed, DFT GGA+U" sg="No. 14" relative_energy_mev_per_atom=33 pbc="T T T"
Ca -0.033 0.289 1.918
Ca -2.788 2.728 6.066
Ca 2.913 3.305 2.231
Ca 0.158 5.744 6.379
Sn -2.755 0.000 4.148
Sn 0.000 3.016 0.000
W 2.818 0.000 0.000
W 0.063 3.016 4.148
O -4.352 0.981 7.988
O -1.597 2.035 3.840
O -3.567 4.441 7.517
O -0.812 4.608 3.369
O -2.031 0.529 6.517
O 0.724 2.487 2.369
O -0.599 3.545 5.928
O 2.156 5.503 1.779
O 0.938 1.425 4.927
O 3.693 1.592 0.779
O 1.723 3.997 4.456
O 4.478 5.051 0.308